8
Lattice="4.417 0.000 0.000 0.000 4.417 0.000 0.000 0.000 11.096" Properties=species:S:1:pos:R:3 comment="PmCdSb2 GGA-PBE optimized geometry" dos_at_fermi_per_ev_atom=0.58 raw_formation_energy_ev_per_atom=-0.58 e_above_lowest_polymorph_ev_per_fu=0.00 sg="P4/nmm (129)" final_energy_ev_per_atom=-4.057 pbc="T T T"
Pm 1.104 1.104 2.453
Pm 3.313 3.313 8.644
Cd 1.104 3.313 5.548
Cd 3.313 1.104 5.548
Sb 1.104 1.104 7.791
Sb 1.104 3.313 0.000
Sb 3.313 1.104 0.000
Sb 3.313 3.313 3.305